(1)
Entry from Alexandria via LeMat-Bulk: a geometry-optimized LiTc2Sb structure (PBE-GGA).

Computed properties:
Formation energy (no corrections) ... 0.336 eV per atom
Crystal system ... tetragonal

a b c (Å): 9.7070 9.7070 9.7070
angles (deg): 157.14 157.14 32.56
Last column: nearest neighbours and their distance in Å.
Fractional coordinates of all 8 atoms:
Li (0.0000, 0.0000, 0.0000)  4 Tc 2.62, 4 Sb 2.72
Li (0.7500, 0.2500, 0.5000)  4 Tc 2.62, 4 Sb 2.72
Tc (0.0594, 0.6250, 0.9344)  2 Tc 2.39, 2 Li 2.62
Tc (0.3750, 0.3094, 0.4344)  2 Tc 2.39, 2 Li 2.62
Tc (0.6906, 0.1250, 0.0656)  2 Tc 2.39, 2 Li 2.62
Tc (0.8750, 0.9406, 0.5656)  2 Tc 2.39, 2 Li 2.62
Sb (0.2500, 0.7500, 0.5000)  4 Li 2.72, 4 Tc 2.80
Sb (0.5000, 0.5000, 0.0000)  4 Li 2.72, 4 Tc 2.80



(2)
Entry from Alexandria via LeMat-Bulk: a geometry-optimized K2BaCrGa structure (PBE-GGA).

Computed properties:
ΔE_f ... 122.43 kJ/mol of atoms
Crystal system ... tetragonal

a b c (Å): 6.7912 6.7912 5.1711
angles (deg): 90.00 90.00 90.00
Last column: nearest neighbours and their distance in Å.
Fractional coordinates of all 5 atoms:
K (0.0000, 0.5000, 0.0000)  2 Ba 3.40
K (0.5000, 0.0000, 0.0000)  2 Ba 3.40
Ba (0.0000, 0.0000, 0.0000)  2 Cr 2.59
Cr (0.0000, 0.0000, 0.5000)  2 Ba 2.59
Ga (0.5000, 0.5000, 0.5000)  8 K 4.27



(3)
Entry from Alexandria via LeMat-Bulk: a geometry-optimized Sr3Ce2NbN6 structure (PBE-GGA).

Computed properties:
Formation energy (no corrections) ... -1.106 eV per atom
Crystal system ... monoclinic

a b c (Å): 6.0977 6.0977 6.2756
angles (deg): 99.27 99.27 120.05
Last column: nearest neighbours and their distance in Å.
Fractional coordinates of all 12 atoms:
Sr (0.0000, 0.0000, 0.0000)  6 N 2.64-2.81
Sr (0.3366, 0.6634, 0.0000)  6 N 2.62-2.84
Sr (0.6634, 0.3366, 0.0000)  6 N 2.62-2.84
Ce (0.1670, 0.8330, 0.5000)  6 N 2.42-2.43
Ce (0.8330, 0.1670, 0.5000)  6 N 2.42-2.43
Nb (0.5000, 0.5000, 0.5000)  6 N 2.23
N (0.1239, 0.4322, 0.2985)  1 Nb 2.23, 2 Ce 2.42-2.43
N (0.2584, 0.2584, 0.7015)  1 Nb 2.23, 2 Ce 2.43
N (0.4322, 0.1239, 0.2985)  1 Nb 2.23, 2 Ce 2.42-2.43
N (0.5678, 0.8761, 0.7015)  1 Nb 2.23, 2 Ce 2.42-2.43
N (0.7416, 0.7416, 0.2985)  1 Nb 2.23, 2 Ce 2.43
N (0.8761, 0.5678, 0.7015)  1 Nb 2.23, 2 Ce 2.42-2.43



(4)
Entry from Alexandria via LeMat-Bulk: a geometry-optimized LaBi3O8 structure (PBE-GGA).

Computed properties:
Formation energy (no corrections) ... -1.262 eV per atom
Crystal system ... orthorhombic

a b c (Å): 3.8141 6.8988 6.8988
angles (deg): 67.14 90.00 90.00
Last column: nearest neighbours and their distance in Å.
Fractional coordinates of all 12 atoms:
La (0.0000, 0.0000, 0.0000)  7 O 2.36-2.63
Bi (0.0000, 0.5215, 0.5215)  5 O 2.05-2.18
Bi (0.5000, 0.5123, 0.9882)  5 O 2.17-2.43
Bi (0.5000, 0.9882, 0.5123)  5 O 2.17-2.43
O (0.0000, 0.3429, 0.3429)  1 Bi 2.05
O (0.0000, 0.3854, 0.8640)  3 Bi 2.18-2.39
O (0.0000, 0.7946, 0.7946)  1 La 2.36
O (0.0000, 0.8640, 0.3854)  3 Bi 2.18-2.39
O (0.5000, 0.1572, 0.7202)  1 Bi 2.17
O (0.5000, 0.1655, 0.1655)  2 Bi 2.22
O (0.5000, 0.6097, 0.6097)  2 Bi 2.16
O (0.5000, 0.7202, 0.1572)  1 Bi 2.17



(5)
Entry from Alexandria via LeMat-Bulk: a geometry-optimized AcHo2Tm4 structure (PBE-GGA).

Computed properties:
Energy relative to the lowest polymorph listed for this composition ... 92.1 meV per atom
ΔE_f ... 14.36 kJ/mol of atoms
Crystal system ... triclinic

a b c (Å): 6.5408 8.8612 9.2320
angles (deg): 72.28 71.79 69.13
Last column: nearest neighbours and their distance in Å.
Fractional coordinates of all 14 atoms:
Ac (0.0000, 0.0000, 0.0000)  5 Tm 3.46-3.77, 2 Ho 3.80-3.87, 1 Ac 3.87
Ac (0.3545, 0.0840, 0.2168)  4 Tm 3.46-3.78, 3 Ho 3.57-3.85, 1 Ac 3.87
Ho (0.0052, 0.8264, 0.4533)  4 Tm 3.27-3.56, 2 Ho 3.41-3.66, 1 Ac 3.57
Ho (0.0223, 0.5381, 0.0961)  8 Tm 3.25-3.64, 1 Ho 3.48
Ho (0.6387, 0.5993, 0.4470)  5 Tm 3.24-3.60, 2 Ho 3.48-3.58
Ho (0.9008, 0.1708, 0.5891)  7 Tm 3.31-3.58, 2 Ho 3.41-3.58
Tm (0.2104, 0.4311, 0.4550)  5 Tm 3.26-3.57, 5 Ho 3.27-3.63
Tm (0.2896, 0.7079, 0.7600)  3 Ho 3.24-3.56, 4 Tm 3.29-3.48, 1 Ac 3.55
Tm (0.3897, 0.2977, 0.8073)  2 Ho 3.32-3.64, 5 Tm 3.37-3.58, 1 Ac 3.65
Tm (0.4345, 0.6628, 0.1278)  3 Tm 3.13-3.34, 2 Ho 3.37-3.42
Tm (0.4568, 0.0395, 0.5750)  5 Tm 3.11-3.43, 2 Ho 3.37-3.41, 1 Ac 3.46
Tm (0.7182, 0.8522, 0.8381)  4 Tm 3.11-3.41, 1 Ho 3.38, 1 Ac 3.46
Tm (0.7279, 0.2747, 0.2568)  3 Ho 3.27-3.60, 3 Tm 3.33-3.43, 2 Ac 3.54-3.58
Tm (0.8151, 0.4560, 0.8215)  6 Tm 3.38-3.61, 3 Ho 3.57-3.70, 1 Ac 3.77



(6)
Entry from Alexandria via LeMat-Bulk: a geometry-optimized Na5CuCl8 structure (PBE-GGA).

Computed properties:
Formation energy (no corrections) ... -1.266 eV per atom
Crystal system ... cubic

a b c (Å): 8.0765 8.0765 8.0765
angles (deg): 60.00 60.00 60.00
Last column: nearest neighbours and their distance in Å.
Fractional coordinates of all 14 atoms:
Na (0.0000, 0.0000, 0.0000)  4 Cl 2.62
Na (0.3691, 0.3691, 0.3691)  3 Cl 2.70
Na (0.3691, 0.3691, 0.8927)  3 Cl 2.70
Na (0.3691, 0.8927, 0.3691)  3 Cl 2.70
Na (0.8927, 0.3691, 0.3691)  3 Cl 2.70
Cu (0.7500, 0.7500, 0.7500)  4 Cl 2.27
Cl (0.0946, 0.6351, 0.6351)  1 Cu 2.27
Cl (0.1324, 0.1324, 0.1324)  4 Na 2.62-2.70
Cl (0.1324, 0.1324, 0.6029)  4 Na 2.62-2.70
Cl (0.1324, 0.6029, 0.1324)  4 Na 2.62-2.70
Cl (0.6029, 0.1324, 0.1324)  4 Na 2.62-2.70
Cl (0.6351, 0.0946, 0.6351)  1 Cu 2.27
Cl (0.6351, 0.6351, 0.0946)  1 Cu 2.27
Cl (0.6351, 0.6351, 0.6351)  1 Cu 2.27



(7)
Entry from Alexandria via LeMat-Bulk: a geometry-optimized Pm2SiBRh6 structure (PBE-GGA).

Computed properties:
Formation energy (no corrections) ... -0.728 eV per atom
Crystal system ... orthorhombic

a b c (Å): 6.1805 6.1805 6.1805
angles (deg): 120.06 119.93 90.00
Last column: nearest neighbours and their distance in Å.
Fractional coordinates of all 10 atoms:
Pm (0.2500, 0.2500, 0.0000)  12 Rh 3.09-3.10
Pm (0.7500, 0.7500, 0.0000)  12 Rh 3.09-3.10
Si (0.5000, 0.0000, 0.5000)  6 Rh 2.29
B (0.0000, 0.5000, 0.5000)  6 Rh 2.08
Rh (0.2382, 0.2618, 0.5000)  1 B 2.08, 1 Si 2.29
Rh (0.2381, 0.7381, 0.5000)  1 B 2.08, 1 Si 2.29
Rh (0.2382, 0.7382, 0.9764)  1 B 2.08, 1 Si 2.29
Rh (0.7618, 0.2618, 0.0236)  1 B 2.08, 1 Si 2.29
Rh (0.7619, 0.2619, 0.5000)  1 B 2.08, 1 Si 2.29
Rh (0.7618, 0.7382, 0.5000)  1 B 2.08, 1 Si 2.29



(8)
Entry from Alexandria via LeMat-Bulk: a geometry-optimized SmErAlOs structure (PBE-GGA).

Computed properties:
ΔE_f ... -20.98 kJ/mol of atoms
Crystal system ... cubic

a b c (Å): 4.9754 4.9754 4.9754
angles (deg): 60.00 60.00 60.00
Last column: nearest neighbours and their distance in Å.
Fractional coordinates of all 4 atoms:
Sm (0.0000, 0.0000, 0.0000)  4 Os 3.05, 4 Al 3.05
Er (0.5000, 0.5000, 0.5000)  4 Al 3.05, 4 Os 3.05
Al (0.7500, 0.7500, 0.7500)  4 Sm 3.05, 4 Er 3.05
Os (0.2500, 0.2500, 0.2500)  4 Er 3.05, 4 Sm 3.05



(9)
Entry from Alexandria via LeMat-Bulk: a geometry-optimized SiSe structure (PBE-GGA).

Computed properties:
Formation energy (no corrections) ... -0.062 eV per atom
Crystal system ... trigonal

a b c (Å): 3.4372 3.4372 8.9190
angles (deg): 90.00 90.00 120.00
Last column: nearest neighbours and their distance in Å.
Fractional coordinates of all 4 atoms:
Si (0.3333, 0.6667, 0.1120)  3 Se 2.47
Si (0.6667, 0.3333, 0.8880)  3 Se 2.47
Se (0.3333, 0.6667, 0.7224)  3 Si 2.47
Se (0.6667, 0.3333, 0.2776)  3 Si 2.47



(10)
Entry from Alexandria via LeMat-Bulk: a geometry-optimized CaTi2Tl structure (PBE-GGA).

Computed properties:
Energy relative to the lowest polymorph listed for this composition ... 182.6 meV per atom
ΔE_f ... 58.17 kJ/mol of atoms
Crystal system ... tetragonal

a b c (Å): 6.4886 6.4886 6.4886
angles (deg): 102.25 102.25 125.14
Last column: nearest neighbours and their distance in Å.
Fractional coordinates of all 8 atoms:
Ca (0.0000, 0.0000, 0.0000)  2 Tl 2.99, 4 Ti 3.14
Ca (0.7500, 0.2500, 0.5000)  2 Tl 2.99, 4 Ti 3.14
Ti (0.1543, 0.6250, 0.0293)  2 Tl 2.82, 2 Ti 3.03, 2 Ca 3.14
Ti (0.3750, 0.4043, 0.5293)  2 Tl 2.82, 2 Ti 3.03, 2 Ca 3.14
Ti (0.5957, 0.1250, 0.9707)  2 Tl 2.82, 2 Ti 3.03, 2 Ca 3.14
Ti (0.8750, 0.8457, 0.4707)  2 Tl 2.82, 2 Ti 3.03, 2 Ca 3.14
Tl (0.2500, 0.7500, 0.5000)  4 Ti 2.82, 2 Ca 2.99
Tl (0.5000, 0.5000, 0.0000)  4 Ti 2.82, 2 Ca 2.99



Across the entries above, M_tot takes the values 0.00, 3.42, 0.00, 0.00, 0.00, 2.26, 0.00, 0.00, 0.00, 5.74 μB per cell, respectively.
Across the entries above, DOS at the Fermi energy takes the values 0.74, 1.28, 0.48, 0.37, 1.40, 1.65, 0.69, 0.37, 0.16, 0.85 states/eV/atom, respectively.